This record from the Alexandria database describes a relaxed HfCdC2 crystal. The functional is PBE.

Cell lengths 5.1472, 5.1472, 10.1794 Å; angles 90.00, 90.00, 90.00 degrees
With the nearest neighbours (Å) after each atom.
Space group I-42d (No. 122)
Unique sites:
Hf  0.0000  0.0000  0.0000 x4  4 C 2.15
Cd  0.0000  0.0000  0.5000 x4  4 C 2.30
C  0.2254  0.2500  0.1250 x8  2 Hf 2.15, 2 Cd 2.30

- formation energy (eV per atom) = 0.959
- DFT total energy (eV per atom) = -6.370
- total moment (μB/cell) = 0.00
- DOS(E_F) (states/eV/cell) = 11.856


This record from the Alexandria database describes a relaxed HfCd3C crystal. The functional is PBE.

Cell lengths 5.7129, 5.7129, 5.7129 Å; angles 90.00, 90.00, 90.00 degrees
With the nearest neighbours (Å) after each atom.
Space group Pm-3m (No. 221)
Unique sites:
Hf  0.0000  0.0000  0.0000 x1  6 Cd 2.86
Cd  0.0000  0.0000  0.5000 x3  2 Hf 2.86
C  0.5000  0.5000  0.5000 x1  12 Cd 4.04

- formation energy (eV per atom) = 2.192
- DFT total energy (eV per atom) = -2.192
- total moment (μB/cell) = 1.78
- DOS(E_F) (states/eV/cell) = 4.138


This record from the Alexandria database describes a relaxed HfCd2C crystal. The functional is PBE.

Cell lengths 8.0108, 8.0108, 4.6170 Å; angles 90.00, 90.00, 90.00 degrees
With the nearest neighbours (Å) after each atom.
Space group I-42d (No. 122)
Unique sites:
Hf  0.0000  0.0000  0.0000 x4  2 C 2.31
Cd  0.1598  0.2500  0.6250 x8  2 C 2.45, 2 Cd 2.72
C  0.0000  0.0000  0.5000 x4  2 Hf 2.31, 4 Cd 2.45

- formation energy (eV per atom) = 0.586
- DFT total energy (eV per atom) = -4.666
- total moment (μB/cell) = 0.00
- DOS(E_F) (states/eV/cell) = 2.236


This record from the Alexandria database describes a relaxed Hf4CdC crystal. The functional is PBE.

Cell lengths 7.7978, 12.7505, 5.5500 Å; angles 90.00, 117.47, 90.00 degrees
With the nearest neighbours (Å) after each atom.
Space group C2/c (No. 15)
Unique sites:
Hf  0.1444  0.2041  0.1560 x8  1 C 2.28
Hf  0.1906  0.0565  0.6919 x8  2 C 2.21-2.28
Cd  0.0000  0.3998  0.7500 x4  8 Hf 2.90-3.20
C  0.0000  0.0660  0.2500 x4  6 Hf 2.21-2.28

- formation energy (eV per atom) = -0.101
- DFT total energy (eV per atom) = -8.426
- total moment (μB/cell) = 0.00
- DOS(E_F) (states/eV/cell) = 23.343


This record from the Alexandria database describes a relaxed Hf2CdC crystal. The functional is PBE.

Cell lengths 6.7184, 6.7184, 6.7278 Å; angles 90.00, 90.00, 90.00 degrees
With the nearest neighbours (Å) after each atom.
Space group I-42d (No. 122)
Unique sites:
Hf  0.1615  0.2500  0.1250 x8  2 C 2.17
Cd  0.0000  0.0000  0.5000 x4  8 Hf 2.95-3.22
C  0.0000  0.0000  0.0000 x4  4 Hf 2.17

- formation energy (eV per atom) = 0.090
- DFT total energy (eV per atom) = -7.421
- total moment (μB/cell) = 0.00
- DOS(E_F) (states/eV/cell) = 9.217


This record from the Alexandria database describes a relaxed HfCdC3 crystal. The functional is PBE.

Cell lengths 4.3237, 4.3237, 4.3237 Å; angles 90.00, 90.00, 90.00 degrees
With the nearest neighbours (Å) after each atom.
Space group Pm-3m (No. 221)
Unique sites:
Hf  0.0000  0.0000  0.0000 x1  6 C 2.16
Cd  0.5000  0.5000  0.5000 x1  12 C 3.06
C  0.0000  0.0000  0.5000 x3  2 Hf 2.16

- formation energy (eV per atom) = 1.927
- DFT total energy (eV per atom) = -5.781
- total moment (μB/cell) = 0.00
- DOS(E_F) (states/eV/cell) = 1.692


This record from the Alexandria database describes a relaxed HfCdC crystal. The functional is PBE.

Cell lengths 3.7944, 3.7944, 27.1151 Å; angles 90.00, 90.00, 120.00 degrees
With the nearest neighbours (Å) after each atom.
Space group R-3m (No. 166, hexagonal axes)
Unique sites:
Hf  0.0000  0.0000  0.1247 x6  4 C 2.19
Cd  0.0000  0.0000  0.2975 x6  1 C 2.50
C  0.0000  0.0000  0.2054 x6  4 Hf 2.19

- formation energy (eV per atom) = -0.109
- DFT total energy (eV per atom) = -6.806
- total moment (μB/cell) = 0.00
- DOS(E_F) (states/eV/cell) = 5.148


This record from the Alexandria database describes a relaxed HfCd3C crystal. The functional is PBE.

Cell lengths 4.6316, 4.6316, 4.6316 Å; angles 90.00, 90.00, 90.00 degrees
With the nearest neighbours (Å) after each atom.
Space group Pm-3m (No. 221)
Unique sites:
Hf  0.0000  0.0000  0.0000 x1  12 Cd 3.28
Cd  0.0000  0.5000  0.5000 x3  2 C 2.32
C  0.5000  0.5000  0.5000 x1  6 Cd 2.32

- formation energy (eV per atom) = 1.041
- DFT total energy (eV per atom) = -3.343
- total moment (μB/cell) = 0.00
- DOS(E_F) (states/eV/cell) = 3.691


This record from the Alexandria database describes a relaxed Hf2MgCdC crystal. The functional is PBE.

Cell lengths 5.0293, 5.0293, 4.7156 Å; angles 90.00, 90.00, 90.00 degrees
With the nearest neighbours (Å) after each atom.
Space group P4/mmm (No. 123)
Unique sites:
Hf  0.0000  0.5000  0.0000 x2  2 Mg 2.51
Mg  0.0000  0.0000  0.0000 x1  2 Cd 2.36, 4 Hf 2.51
Cd  0.0000  0.0000  0.5000 x1  2 Mg 2.36
C  0.5000  0.5000  0.5000 x1  8 Hf 3.45, 4 Cd 3.56

- formation energy (eV per atom) = 2.295
- DFT total energy (eV per atom) = -4.033
- total moment (μB/cell) = 0.00
- DOS(E_F) (states/eV/cell) = 2.854


This record from the Alexandria database describes a relaxed HfCdMoC2 crystal. The functional is PBE.

Cell lengths 4.1806, 4.1806, 5.3589 Å; angles 90.00, 90.00, 90.00 degrees
With the nearest neighbours (Å) after each atom.
Space group P4/mmm (No. 123)
Unique sites:
Hf  0.0000  0.0000  0.0000 x1  4 C 2.09
Cd  0.0000  0.0000  0.5000 x1  2 Hf 2.68, 4 Mo 2.96
Mo  0.5000  0.5000  0.5000 x1  4 Cd 2.96
C  0.0000  0.5000  0.0000 x2  2 Hf 2.09

- formation energy (eV per atom) = 2.165
- DFT total energy (eV per atom) = -5.865
- total moment (μB/cell) = 0.00
- DOS(E_F) (states/eV/cell) = 7.238


This record from the Alexandria database describes a relaxed Hf2CdMoC crystal. The functional is PBE.

Cell lengths 4.9126, 4.9126, 5.2668 Å; angles 90.00, 90.00, 90.00 degrees
With the nearest neighbours (Å) after each atom.
Space group P4/mmm (No. 123)
Unique sites:
Hf  0.0000  0.5000  0.0000 x2  2 Mo 2.46
Cd  0.0000  0.0000  0.5000 x1  2 Mo 2.63
Mo  0.0000  0.0000  0.0000 x1  4 Hf 2.46, 2 Cd 2.63
C  0.5000  0.5000  0.5000 x1  4 Cd 3.47, 8 Hf 3.60

- formation energy (eV per atom) = 2.047
- DFT total energy (eV per atom) = -6.129
- total moment (μB/cell) = 1.41
- DOS(E_F) (states/eV/cell) = 3.711


This record from the Alexandria database describes a relaxed Hf2NbCdC crystal. The functional is PBE.

Cell lengths 4.5339, 4.5339, 4.3199 Å; angles 90.00, 90.00, 90.00 degrees
With the nearest neighbours (Å) after each atom.
Space group P4/mmm (No. 123)
Unique sites:
Hf  0.0000  0.5000  0.0000 x2  2 C 2.27
Nb  0.0000  0.0000  0.5000 x1  2 C 2.16
Cd  0.5000  0.5000  0.5000 x1  8 Hf 3.13, 4 Nb 3.21
C  0.0000  0.0000  0.0000 x1  2 Nb 2.16, 4 Hf 2.27

- formation energy (eV per atom) = -0.315
- DFT total energy (eV per atom) = -8.338
- total moment (μB/cell) = 0.00
- DOS(E_F) (states/eV/cell) = 2.823


This record from the Alexandria database describes a relaxed Hf2CdSbC crystal. The functional is PBE.

Cell lengths 5.2914, 5.2914, 5.1574 Å; angles 90.00, 90.00, 90.00 degrees
With the nearest neighbours (Å) after each atom.
Space group P4/mmm (No. 123)
Unique sites:
Hf  0.0000  0.5000  0.0000 x2  2 Sb 2.65
Cd  0.0000  0.0000  0.5000 x1  2 Sb 2.58
Sb  0.0000  0.0000  0.0000 x1  2 Cd 2.58, 4 Hf 2.65
C  0.5000  0.5000  0.5000 x1  8 Hf 3.69, 4 Cd 3.74

- E_form (uncorrected) (meV per atom) = 2243
- DFT total energy (eV per atom) = -4.591
- total moment (μB/cell) = 0.00
- DOS(E_F) (states/eV/cell) = 5.447


This record from the Alexandria database describes a relaxed HfCdSb2C crystal. The functional is PBE.

Cell lengths 5.3085, 5.3085, 5.4296 Å; angles 90.00, 90.00, 90.00 degrees
With the nearest neighbours (Å) after each atom.
Space group P4/mmm (No. 123)
Unique sites:
Hf  0.0000  0.0000  0.0000 x1  2 Cd 2.71
Cd  0.0000  0.0000  0.5000 x1  4 Sb 2.65, 2 Hf 2.71
Sb  0.0000  0.5000  0.5000 x2  2 Cd 2.65
C  0.5000  0.5000  0.0000 x1  4 Hf 3.75, 8 Sb 3.80

- E_form (uncorrected) (meV per atom) = 2323
- DFT total energy (eV per atom) = -3.345
- total moment (μB/cell) = 0.44
- DOS(E_F) (states/eV/cell) = 4.055


This record from the Alexandria database describes a relaxed Hf2ScCdC crystal. The functional is PBE.

Cell lengths 4.5180, 4.5180, 4.5320 Å; angles 90.00, 90.00, 90.00 degrees
With the nearest neighbours (Å) after each atom.
Space group P4/mmm (No. 123)
Unique sites:
Hf  0.0000  0.5000  0.0000 x2  2 C 2.26
Sc  0.0000  0.0000  0.5000 x1  2 C 2.27
Cd  0.5000  0.5000  0.5000 x1  4 Sc 3.19, 8 Hf 3.20
C  0.0000  0.0000  0.0000 x1  4 Hf 2.26, 2 Sc 2.27

- formation energy (eV per atom) = -0.449
- DFT total energy (eV per atom) = -7.725
- total moment (μB/cell) = 0.00
- DOS(E_F) (states/eV/cell) = 1.907


This record from the Alexandria database describes a relaxed HfSc2CdC crystal. The functional is PBE.

Cell lengths 4.5410, 4.5410, 4.5376 Å; angles 90.00, 90.00, 90.00 degrees
With the nearest neighbours (Å) after each atom.
Space group P4/mmm (No. 123)
Unique sites:
Hf  0.0000  0.0000  0.0000 x1  2 C 2.27
Sc  0.0000  0.5000  0.5000 x2  2 C 2.27
Cd  0.5000  0.5000  0.0000 x1  8 Sc 3.21, 4 Hf 3.21
C  0.0000  0.0000  0.5000 x1  2 Hf 2.27, 4 Sc 2.27

- formation energy (eV per atom) = -0.461
- DFT total energy (eV per atom) = -7.012
- total moment (μB/cell) = 0.00
- DOS(E_F) (states/eV/cell) = 4.042


This record from the Alexandria database describes a relaxed Hf2TaCdC crystal. The functional is PBE.

Cell lengths 4.5407, 4.5407, 4.2836 Å; angles 90.00, 90.00, 90.00 degrees
With the nearest neighbours (Å) after each atom.
Space group P4/mmm (No. 123)
Unique sites:
Hf  0.0000  0.5000  0.0000 x2  2 C 2.27
Ta  0.0000  0.0000  0.5000 x1  2 C 2.14
Cd  0.5000  0.5000  0.5000 x1  8 Hf 3.12, 4 Ta 3.21
C  0.0000  0.0000  0.0000 x1  2 Ta 2.14, 4 Hf 2.27

- formation energy (eV per atom) = -0.291
- DFT total energy (eV per atom) = -8.670
- total moment (μB/cell) = 0.00
- DOS(E_F) (states/eV/cell) = 3.015


This record from the Alexandria database describes a relaxed HfCd2TcC crystal. The functional is PBE.

Cell lengths 5.2424, 5.2424, 4.7170 Å; angles 90.00, 90.00, 90.00 degrees
With the nearest neighbours (Å) after each atom.
Space group P4/mmm (No. 123)
Unique sites:
Hf  0.0000  0.0000  0.0000 x1  2 Tc 2.36
Cd  0.0000  0.5000  0.5000 x2  2 Tc 2.62
Tc  0.0000  0.0000  0.5000 x1  2 Hf 2.36, 4 Cd 2.62
C  0.5000  0.5000  0.0000 x1  8 Cd 3.53, 4 Hf 3.71

- formation energy (eV per atom) = 1.918
- DFT total energy (eV per atom) = -4.357
- total moment (μB/cell) = 1.82
- DOS(E_F) (states/eV/cell) = 3.896


This record from the Alexandria database describes a relaxed Y2HfCdC crystal. The functional is PBE.

Cell lengths 4.9518, 4.9518, 4.5075 Å; angles 90.00, 90.00, 90.00 degrees
With the nearest neighbours (Å) after each atom.
Space group P4/mmm (No. 123)
Unique sites:
Y  0.0000  0.5000  0.0000 x2  2 C 2.48
Hf  0.0000  0.0000  0.5000 x1  2 C 2.25
Cd  0.5000  0.5000  0.5000 x1  8 Y 3.35, 4 Hf 3.50
C  0.0000  0.0000  0.0000 x1  2 Hf 2.25, 4 Y 2.48

- formation energy (eV per atom) = -0.330
- DFT total energy (eV per atom) = -6.934
- total moment (μB/cell) = 0.00
- DOS(E_F) (states/eV/cell) = 4.141


This record from the Alexandria database describes a relaxed Hf2ZnCdC crystal. The functional is PBE.

Cell lengths 4.4557, 4.4557, 4.4828 Å; angles 90.00, 90.00, 90.00 degrees
With the nearest neighbours (Å) after each atom.
Space group P4/mmm (No. 123)
Unique sites:
Hf  0.0000  0.5000  0.0000 x2  2 C 2.23
Zn  0.0000  0.0000  0.5000 x1  4 Cd 3.15, 8 Hf 3.16
Cd  0.5000  0.5000  0.5000 x1  2 C 2.24
C  0.5000  0.5000  0.0000 x1  4 Hf 2.23, 2 Cd 2.24

- formation energy (eV per atom) = 0.004
- DFT total energy (eV per atom) = -6.260
- total moment (μB/cell) = 0.00
- DOS(E_F) (states/eV/cell) = 2.356